# 1
First-principles (PBE-GGA) data for a relaxed structure of TmPaTlSn, as listed in Alexandria via LeMat-Bulk.

Cell: 5.3208 5.3208 5.3208 Å, 60.00 60.00 60.00°
Last column: nearest neighbours and their distance in Å.
Sites, in units of the cell vectors:
Sn1 0.2500 0.2500 0.2500  4 Pa 3.26, 4 Tm 3.26
Tm1 0.5000 0.5000 0.5000  4 Tl 3.26, 4 Sn 3.26
Tl1 0.7500 0.7500 0.7500  4 Tm 3.26, 4 Pa 3.26
Pa1 0.0000 0.0000 0.0000  4 Sn 3.26, 4 Tl 3.26

The magnetization is 1.82 μB/f.u. Its space group is F-43m (216). For the raw total energy, the calculation gives -5.18 eV/atom.

=====

# 2
First-principles (PBE-GGA) data for a relaxed structure of YPaTlSn, as listed in Alexandria via LeMat-Bulk.

Cell: 5.3541 5.3541 5.3541 Å, 60.00 60.00 60.00°
Last column: nearest neighbours and their distance in Å.
Sites, in units of the cell vectors:
Tl1 0.2500 0.2500 0.2500  4 Y 3.28, 4 Pa 3.28
Sn1 0.7500 0.7500 0.7500  4 Pa 3.28, 4 Y 3.28
Pa1 0.5000 0.5000 0.5000  4 Tl 3.28, 4 Sn 3.28
Y1 0.0000 0.0000 0.0000  4 Sn 3.28, 4 Tl 3.28

The magnetization is 1.97 μB/f.u. Its space group is F-43m (216). For the raw total energy, the calculation gives -5.71 eV/atom.

=====

# 3
First-principles (PBE-GGA) data for a relaxed structure of Tm2PaSn, as listed in Alexandria via LeMat-Bulk.

Cell: 3.7436 3.7436 7.5070 Å, 90.00 90.00 90.00°
Last column: nearest neighbours and their distance in Å.
Sites, in units of the cell vectors:
Tm1 0.0000 0.0000 0.7674  4 Sn 3.17, 4 Pa 3.32, 1 Tm 3.49
Tm2 0.0000 0.0000 0.2326  4 Sn 3.17, 4 Pa 3.32, 1 Tm 3.49
Sn1 0.5000 0.5000 0.0000  8 Tm 3.17
Pa1 0.5000 0.5000 0.5000  8 Tm 3.32

The magnetization is 0.00 μB/f.u. Its space group is P4/mmm (123). Its energy above the lowest structure with this stoichiometry is 0.041 eV per atom. For the raw total energy, the calculation gives -5.77 eV/atom.

=====

# 4
First-principles (PBE-GGA) data for a relaxed structure of Tm2PaSn, as listed in Alexandria via LeMat-Bulk.

Cell: 3.4128 3.4128 10.8362 Å, 80.94 80.94 60.00°
Last column: nearest neighbours and their distance in Å.
Sites, in units of the cell vectors:
Tm1 0.2518 0.2518 0.2446  3 Sn 3.27, 3 Pa 3.36, 6 Tm 3.41
Tm2 0.7482 0.7482 0.7554  3 Sn 3.27, 3 Pa 3.36, 6 Tm 3.41
Pa1 0.5000 0.5000 0.5000  6 Tm 3.36, 6 Pa 3.41
Sn1 0.0000 0.0000 0.0000  6 Tm 3.27, 6 Sn 3.41

The magnetization is 0.00 μB/f.u. Its space group is R-3m (166). Its energy above the lowest structure with this stoichiometry is 0.036 eV per atom. For the raw total energy, the calculation gives -5.77 eV/atom.

=====

Repeat the first record exactly.
First-principles (PBE-GGA) data for a relaxed structure of TmPaTlSn, as listed in Alexandria via LeMat-Bulk.

Cell: 5.3208 5.3208 5.3208 Å, 60.00 60.00 60.00°
Last column: nearest neighbours and their distance in Å.
Sites, in units of the cell vectors:
Sn1 0.2500 0.2500 0.2500  4 Pa 3.26, 4 Tm 3.26
Tm1 0.5000 0.5000 0.5000  4 Tl 3.26, 4 Sn 3.26
Tl1 0.7500 0.7500 0.7500  4 Tm 3.26, 4 Pa 3.26
Pa1 0.0000 0.0000 0.0000  4 Sn 3.26, 4 Tl 3.26

The magnetization is 1.82 μB/f.u. Its space group is F-43m (216). For the raw total energy, the calculation gives -5.18 eV/atom.